Compound: BaInFeO2
Source: Alexandria via LeMat-Bulk
Functional: GGA+U
Structure: relaxed

abc: 4.4436 4.4436 6.0764
angles: 90.00 90.00 90.00
Element x y z (fractional)
1 Ba 0.0000 0.0000 0.0000
2 In 0.5000 0.5000 0.5000
3 Fe 0.0000 0.0000 0.5000
4 O 0.0000 0.5000 0.0000
5 O 0.5000 0.0000 0.0000

Results
M_tot (μB/cell): 3.25
Space-group type: No. 123
DFT total energy (eV/cell): -19.526